No. 1
Material: Mn5Os3
Method: DFT, GGA-PBE
State: optimized geometry

a b c (Å): 3.660 3.720 7.411
angles (deg): 90.00 90.00 90.00
Space group Pmmm (No. 47)
One atom of each set of equivalent atoms:
Mn: 0.000 0.000 0.000
Mn: 0.000 0.000 0.500
Mn: 0.000 0.500 0.249
Mn: 0.500 0.500 0.500
Os: 0.500 0.000 0.254
Os: 0.500 0.500 0.000

Values from the calculation:
As for the density of states at the Fermi level: 8.3 states/eV/cell. Its electronic total energy is -9.901 eV/atom. As for the total magnetic moment: 2.87 μB/cell. The energy relative to the lowest polymorph listed for this composition is 7 meV per atom. The volume is 12.613 Å³ per atom.

---

No. 2
Material: Mn2Os
Method: DFT, GGA-PBE
State: optimized geometry

a b c (Å): 6.584 6.584 6.584
angles (deg): 90.00 90.00 90.00
Space group Fd-3m (No. 227, origin choice 2)
One atom of each set of equivalent atoms:
Mn: 0.000 0.000 0.000
Os: 0.125 0.125 0.625

Values from the calculation:
As for the density of states at the Fermi level: 36.4 states/eV/cell. Its electronic total energy is -9.818 eV/atom. As for the total magnetic moment: 8.35 μB/cell. The volume is 11.892 Å³ per atom.

---

No. 3
Material: MnOs
Method: DFT, GGA-PBE
State: optimized geometry

a b c (Å): 9.456 2.670 4.526
angles (deg): 90.00 117.42 90.00
Space group C2/m (No. 12)
One atom of each set of equivalent atoms:
Mn: 0.130 0.000 0.299
Os: 0.122 0.500 0.793

Values from the calculation:
As for the density of states at the Fermi level: 7.9 states/eV/cell. Its electronic total energy is -10.201 eV/atom. As for the total magnetic moment: 0.00 μB/cell. The volume is 12.680 Å³ per atom.

---

No. 4
Material: MnOs
Method: DFT, GGA-PBE
State: optimized geometry

a b c (Å): 4.0319 4.0319 7.7746
angles (deg): 90.00 90.00 120.00
Space group P6_3/mmc (No. 194)
One atom of each set of equivalent atoms:
Mn: 0.0000 0.0000 0.2500
Mn: 0.3333 0.6667 0.2500
Os: 0.3333 0.6667 0.5778

Values from the calculation:
As for the density of states at the Fermi level: 8.2 states/eV/cell. Its electronic total energy is -9.923 eV/atom. As for the total magnetic moment: 3.09 μB/cell. The volume is 13.682 Å³ per atom.

---

No. 5
Material: Mn3Os
Method: DFT, GGA-PBE
State: optimized geometry

a b c (Å): 2.933 2.933 5.798
angles (deg): 90.00 90.00 90.00
Space group P4/mmm (No. 123)
One atom of each set of equivalent atoms:
Mn: 0.000 0.000 0.000
Mn: 0.500 0.500 0.233
Os: 0.000 0.000 0.500

Values from the calculation:
As for the density of states at the Fermi level: 5.4 states/eV/cell. Its electronic total energy is -9.554 eV/atom. As for the total magnetic moment: 4.97 μB/cell. The volume is 12.471 Å³ per atom.

---

No. 6
Material: Mn2Os
Method: DFT, GGA-PBE
State: optimized geometry

a b c (Å): 3.682 3.682 22.294
angles (deg): 90.00 90.00 90.00
Space group I4_1/amd (No. 141, origin choice 2)
One atom of each set of equivalent atoms:
Mn: 0.000 0.250 0.124
Mn: 0.000 0.250 0.796
Os: 0.000 0.250 0.293

Values from the calculation:
As for the density of states at the Fermi level: 27.7 states/eV/cell. Its electronic total energy is -9.821 eV/atom. As for the total magnetic moment: 5.15 μB/cell. The volume is 12.591 Å³ per atom.

---

No. 7
Material: MnOs
Method: DFT, GGA-PBE
State: optimized geometry

a b c (Å): 9.190 4.178 5.273
angles (deg): 90.00 90.00 90.00
Space group Pnma (No. 62)
One atom of each set of equivalent atoms:
Mn: 0.085 0.250 0.248
Mn: 0.166 0.750 0.004
Os: 0.081 0.250 0.759
Os: 0.169 0.750 0.502

Values from the calculation:
As for the density of states at the Fermi level: 14.9 states/eV/cell. Its electronic total energy is -10.228 eV/atom. As for the total magnetic moment: 0.04 μB/cell. The volume is 12.654 Å³ per atom.

---

No. 8
Material: Mn4Os5
Method: DFT, GGA-PBE
State: optimized geometry

a b c (Å): 7.981 7.981 3.794
angles (deg): 90.00 90.00 90.00
Space group I4/mmm (No. 139)
One atom of each set of equivalent atoms:
Mn: 0.000 0.328 0.000
Os: 0.000 0.000 0.000
Os: 0.168 0.168 0.500

Values from the calculation:
As for the density of states at the Fermi level: 16.2 states/eV/cell. Its electronic total energy is -10.217 eV/atom. As for the total magnetic moment: 13.80 μB/cell. The energy relative to the lowest polymorph listed for this composition is 0 meV per atom. The volume is 13.424 Å³ per atom.

---

No. 9
Material: MnOs2
Method: DFT, GGA-PBE
State: optimized geometry

a b c (Å): 3.784 3.784 22.768
angles (deg): 90.00 90.00 90.00
Space group I4_1/amd (No. 141, origin choice 2)
One atom of each set of equivalent atoms:
Mn: 0.000 0.250 0.294
Os: 0.000 0.250 0.127
Os: 0.000 0.250 0.790

Values from the calculation:
As for the density of states at the Fermi level: 22.2 states/eV/cell. Its electronic total energy is -10.462 eV/atom. As for the total magnetic moment: 12.11 μB/cell. The volume is 13.583 Å³ per atom.

---

No. 10
Material: MnOs
Method: DFT, GGA-PBE
State: optimized geometry

a b c (Å): 2.6655 2.6655 12.6867
angles (deg): 90.00 90.00 120.00
Space group R-3m (No. 166, hexagonal axes)
One atom of each set of equivalent atoms:
Mn: 0.0000 0.0000 0.0000
Os: 0.0000 0.0000 0.5000

Values from the calculation:
As for the density of states at the Fermi level: 6.3 states/eV/cell. Its electronic total energy is -10.080 eV/atom. As for the total magnetic moment: 3.64 μB/cell. The volume is 13.011 Å³ per atom.

---

No. 11
Material: Mn3Os
Method: DFT, GGA-PBE
State: optimized geometry

a b c (Å): 2.6031 2.6031 24.8709
angles (deg): 90.00 90.00 120.00
Space group R-3m (No. 166, hexagonal axes)
One atom of each set of equivalent atoms:
Mn: 0.0000 0.0000 0.0000
Mn: 0.0000 0.0000 0.2534
Os: 0.0000 0.0000 0.5000

Values from the calculation:
As for the density of states at the Fermi level: 16.2 states/eV/cell. Its electronic total energy is -9.534 eV/atom. As for the total magnetic moment: 2.78 μB/cell. The volume is 12.163 Å³ per atom.

---

No. 12
Material: MnOs2
Method: DFT, GGA-PBE
State: optimized geometry

a b c (Å): 5.655 5.655 5.655
angles (deg): 90.00 90.00 90.00
Space group Fm-3m (No. 225)
One atom of each set of equivalent atoms:
Mn: 0.000 0.000 0.000
Os: 0.250 0.250 0.250

Values from the calculation:
As for the density of states at the Fermi level: 10.4 states/eV/cell. Its electronic total energy is -9.939 eV/atom. As for the total magnetic moment: 0.00 μB/cell. The volume is 15.068 Å³ per atom.

---

Which formula does entry 10 have?
MnOs

---

total magnetic moment of number 5 (Mn3Os)?
4.97 μB/cell